Material: Hf4SiC2S
Method: DFT, GGA-PBE
State: relaxed

Values from the calculation:
crystal system: hexagonal
total magnetic moment: 0.00 μB per formula unit
total DFT energy (no corrections): -9.534 eV per atom

Unit cell a=3.3263 b=3.3263 c=12.7407 alpha=90.00 beta=90.00 gamma=120.00
Sites, in units of the cell vectors:
C 0.3333 0.6667 0.7603
C 0.3333 0.6667 0.2397
Si 0.6667 0.3333 0.5000
S 0.0000 0.0000 0.0000
Hf 0.6667 0.3333 0.8572
Hf 0.0000 0.0000 0.6624
Hf 0.6667 0.3333 0.1428
Hf 0.0000 0.0000 0.3376